Record 1
The following is a DFT calculation (GGA-PBE) of an optimized crystal structure of BaCdCl.

Structure (POSCAR):
```
BaCdCl
1.0
-4.847 0.068 2.104
1.086 -3.241 -4.030
1.337 -3.523 3.194
Cl Cd Ba
1 1 1
Cartesian
0.222 -5.072 0.675 Cl
-2.424 -2.209 1.123 Cd
1.115 -2.938 2.664 Ba
```

Computed properties:
As for the space group: No. 156. The formation energy (no corrections) comes out at -1.043 eV/atom. For the distance to the lowest polymorph of the same formula, the calculation gives 11 meV/atom. The calculated total energy comes out at -2.605 eV per atom.


Record 2
The following is a DFT calculation (GGA-PBE) of an optimized crystal structure of BaCdCl.

Structure (POSCAR):
```
BaCdCl
1.0
5.512 0.000 0.000
2.756 4.773 0.000
2.756 1.591 4.500
Ba Cd Cl
1 1 1
Cartesian
5.512 3.182 2.250 Ba
2.756 1.591 1.125 Cd
0.000 0.000 0.000 Cl
```

Computed properties:
As for the space group: No. 216. The formation energy (no corrections) comes out at -0.688 eV/atom. For the distance to the lowest polymorph of the same formula, the calculation gives 366 meV/atom. The calculated total energy comes out at -2.249 eV per atom.


Record 3
The following is a DFT calculation (GGA-PBE) of an optimized crystal structure of Ba2CdCl.

Structure (POSCAR):
```
Ba2CdCl
1.0
-5.014 6.818 -1.897
-4.143 -0.943 7.562
-1.428 5.835 4.920
Ba Cl Cd
4 2 2
Cartesian
-3.719 1.920 5.664 Ba
-3.863 5.404 1.045 Ba
-8.963 9.545 8.426 Ba
-4.626 6.552 6.034 Ba
-5.075 3.915 7.657 Cl
-4.579 2.938 2.833 Cl
0.000 0.000 0.000 Cd
-5.511 7.796 2.928 Cd
```

Computed properties:
As for the space group: No. 122. The formation energy (no corrections) comes out at -0.886 eV/atom. For the distance to the lowest polymorph of the same formula, the calculation gives 138 meV/atom. The calculated total energy comes out at -2.538 eV per atom.


Record 4
The following is a DFT calculation (GGA-PBE) of an optimized crystal structure of BaCdCl2.

Structure (POSCAR):
```
BaCdCl2
1.0
8.565 0.000 0.000
-3.189 4.138 -0.004
2.188 1.690 3.332
Cl Ba Cd
2 1 1
Cartesian
5.376 0.845 1.666 Cl
0.000 0.000 0.000 Cl
-0.500 2.914 1.664 Ba
2.688 2.069 -0.002 Cd
```

Computed properties:
As for the space group: No. 65. The formation energy (no corrections) comes out at -1.507 eV/atom. For the distance to the lowest polymorph of the same formula, the calculation gives 162 meV/atom. The calculated total energy comes out at -3.140 eV per atom.